Compound: Nd2BeSi3Ni4
Source: the Alexandria database
Functional: PBE-GGA
Structure: relaxed

Properties
formation energy (no corrections)	-0.686	eV per atom
electronic total energy	-5.952	eV per atom

abc: 4.0300 4.0300 9.4845
angles: 90.00 90.00 90.00
Atoms (fractional coordinates):
Nd (0.0000, 0.5000, 0.7454)
Nd (0.5000, 0.0000, 0.2546)
Ni (0.5000, 0.0000, 0.6199)
Ni (0.0000, 0.5000, 0.3801)
Ni (0.5000, 0.5000, 0.0000)
Ni (0.0000, 0.0000, 0.0000)
Si (0.5000, 0.0000, 0.8713)
Si (0.0000, 0.0000, 0.5000)
Si (0.0000, 0.5000, 0.1287)
Be (0.5000, 0.5000, 0.5000)

---

Compound: KReAu2
Source: the Alexandria database
Functional: PBE-GGA
Structure: relaxed

Properties
relative energy among the computed polymorphs	749	meV per atom
electronic total energy	-3.794	eV per atom
ΔE_f	1.231	eV per atom

abc: 4.8754 4.8754 4.8754
angles: 60.00 60.00 60.00
Site moments in Bohr magnetons follow the coordinates.
Atoms (fractional coordinates):
Re (0.7500, 0.7500, 0.7500)  2.68
Au (0.2500, 0.2500, 0.2500)  -0.01
Au (0.0000, 0.0000, 0.0000)  0.12
K (0.5000, 0.5000, 0.5000)  0.03

---

Compound: Sc2NiBr
Source: the Alexandria database
Functional: PBE-GGA
Structure: relaxed

Properties
relative energy among the computed polymorphs	74	meV per atom
formation energy (no corrections)	-0.634	eV per atom
electronic total energy	-5.663	eV per atom

abc: 8.1282 8.1282 8.1282
angles: 27.38 27.38 27.38
Atoms (fractional coordinates):
Ni (0.5000, 0.5000, 0.5000)
Br (0.0000, 0.0000, 0.0000)
Sc (0.1126, 0.1126, 0.1126)
Sc (0.8874, 0.8874, 0.8874)

---

Compound: TmCdTeO6
Source: the Alexandria database
Functional: PBE-GGA
Structure: relaxed

Properties
formation energy (no corrections)	-1.645	eV per atom
electronic total energy	-5.899	eV per atom

abc: 5.0075 5.0075 9.9749
angles: 90.00 90.00 90.00
Site moments in Bohr magnetons follow the coordinates.
Atoms (fractional coordinates):
O (0.3114, 0.3114, 0.6922)  0.14
O (0.7250, 0.7250, 0.3249)  0.20
O (0.8206, 0.1794, 0.4820)  0.10
O (0.1886, 0.8114, 0.1922)  0.14
O (0.3206, 0.3206, 0.9820)  0.10
O (0.2250, 0.7750, 0.8249)  0.20
O (0.7750, 0.2250, 0.8249)  0.20
O (0.2750, 0.2750, 0.3249)  0.20
O (0.8114, 0.1886, 0.1922)  0.14
O (0.1794, 0.8206, 0.4820)  0.10
O (0.6794, 0.6794, 0.9820)  0.10
O (0.6886, 0.6886, 0.6922)  0.14
Te (0.0000, 0.0000, 0.3340)  -0.02
Te (0.5000, 0.5000, 0.8340)  -0.02
Cd (0.5000, 0.5000, 0.4990)  0.02
Cd (0.0000, 0.0000, 0.9990)  0.02
Tm (0.0000, 0.0000, 0.6687)  -0.02
Tm (0.5000, 0.5000, 0.1687)  -0.02

---

Question: What is the formula in the fourth record?
Answer: TmCdTeO6

---

Question: Number 3 is which compound?
Answer: Sc2NiBr

---

Question: The highest electronic total energy belongs to which entry?
Answer: KReAu2

---

Repeat the third record exactly.
Compound: Sc2NiBr
Source: the Alexandria database
Functional: PBE-GGA
Structure: relaxed

Properties
relative energy among the computed polymorphs	74	meV per atom
formation energy (no corrections)	-0.634	eV per atom
electronic total energy	-5.663	eV per atom

abc: 8.1282 8.1282 8.1282
angles: 27.38 27.38 27.38
Atoms (fractional coordinates):
Ni (0.5000, 0.5000, 0.5000)
Br (0.0000, 0.0000, 0.0000)
Sc (0.1126, 0.1126, 0.1126)
Sc (0.8874, 0.8874, 0.8874)